(1)
A plane-wave DFT calculation with PBE was carried out for CoTcMo after structural relaxation.

Summary:
M_tot (μB/f.u.): 0.6
Crystal system: trigonal
Total energy (hartree per atom): -0.3359
ΔH_f (0 K) (eV/atom): 0.29
Offset from the most stable computed form (meV per atom): 200.9

Cell: 5.1597 5.1597 5.5641 Å, 90.00 90.00 120.00°
Closest atoms and distances in Å follow each position.
Positions (direct):
Co  0.0000  0.1229  0.3333  2 Co 2.16, 1 Tc 2.28
Co  0.1229  0.0000  0.6667  2 Co 2.16, 1 Tc 2.28
Co  0.8771  0.8771  0.0000  2 Co 2.16, 1 Tc 2.28
Tc  0.0000  0.5656  0.3333  1 Co 2.28, 2 Mo 2.50
Tc  0.4344  0.4344  0.0000  1 Co 2.28, 2 Mo 2.50
Tc  0.5656  0.0000  0.6667  1 Co 2.28, 2 Mo 2.50
Mo  0.0000  0.4655  0.8333  2 Tc 2.50, 2 Co 2.67
Mo  0.4655  0.0000  0.1667  2 Tc 2.50, 2 Co 2.67
Mo  0.5345  0.5345  0.5000  2 Tc 2.50, 2 Co 2.67

***

(2)
A plane-wave DFT calculation with PBE was carried out for Mg3As2Pd3 after structural relaxation.

Summary:
M_tot (μB/f.u.): 0.0
Crystal system: orthorhombic
Total energy (hartree per atom): -0.1564
ΔH_f (0 K) (eV/atom): -0.55

Cell: 7.0229 14.9707 5.4914 Å, 90.00 90.00 90.00°
Closest atoms and distances in Å follow each position.
Positions (direct):
Mg  0.0256  0.1116  0.1439  6 Pd 2.85-2.99, 3 As 2.87-3.01
Mg  0.0256  0.3884  0.1439  6 Pd 2.85-2.99, 3 As 2.87-3.01
Mg  0.1832  0.2500  0.5894  3 Pd 2.72-3.05, 4 As 2.82-2.90
Mg  0.3168  0.7500  0.0894  3 Pd 2.72-3.05, 4 As 2.82-2.90
Mg  0.4744  0.6116  0.6439  6 Pd 2.85-2.99, 3 As 2.87-3.01
Mg  0.4744  0.8884  0.6439  6 Pd 2.85-2.99, 3 As 2.87-3.01
Mg  0.5256  0.1116  0.3561  6 Pd 2.85-2.99, 3 As 2.87-3.01
Mg  0.5256  0.3884  0.3561  6 Pd 2.85-2.99, 3 As 2.87-3.01
Mg  0.6832  0.2500  0.9106  3 Pd 2.72-3.05, 4 As 2.82-2.90
Mg  0.8168  0.7500  0.4106  3 Pd 2.72-3.05, 4 As 2.82-2.90
Mg  0.9744  0.6116  0.8561  6 Pd 2.85-2.99, 3 As 2.87-3.01
Mg  0.9744  0.8884  0.8561  6 Pd 2.85-2.99, 3 As 2.87-3.01
As  0.1140  0.6177  0.3466  4 Pd 2.48-2.60
As  0.1140  0.8823  0.3466  4 Pd 2.48-2.60
As  0.3860  0.1177  0.8466  4 Pd 2.48-2.60
As  0.3860  0.3823  0.8466  4 Pd 2.48-2.60
As  0.6140  0.6177  0.1534  4 Pd 2.48-2.60
As  0.6140  0.8823  0.1534  4 Pd 2.48-2.60
As  0.8860  0.1177  0.6534  4 Pd 2.48-2.60
As  0.8860  0.3823  0.6534  4 Pd 2.48-2.60
Pd  0.1878  0.0214  0.5800  3 As 2.48-2.60
Pd  0.1878  0.4786  0.5800  3 As 2.48-2.60
Pd  0.1918  0.7500  0.6206  2 As 2.55, 1 Mg 2.72
Pd  0.3082  0.2500  0.1206  2 As 2.55, 1 Mg 2.72
Pd  0.3122  0.5214  0.0800  3 As 2.48-2.60
Pd  0.3122  0.9786  0.0800  3 As 2.48-2.60
Pd  0.6878  0.0214  0.9200  3 As 2.48-2.60
Pd  0.6878  0.4786  0.9200  3 As 2.48-2.60
Pd  0.6918  0.7500  0.8794  2 As 2.55, 1 Mg 2.72
Pd  0.8082  0.2500  0.3794  2 As 2.55, 1 Mg 2.72
Pd  0.8122  0.5214  0.4200  3 As 2.48-2.60
Pd  0.8122  0.9786  0.4200  3 As 2.48-2.60